# PBE KTc2Te2, optimized geometry
# excess energy over the best structure of this formula in the dataset	0.000	eV/atom
# ΔE_f (raw)	-0.141	eV per atom
# calculated total energy	-57.63	eV for the cell shown
data_KTc2Te2
_chemical_formula_sum 'K2 Tc4 Te4'
_space_group_name_H-M_alt 'I 4/m m m'
_space_group_IT_number 139
_space_group_name_Hall '-I 4 2'
_cell_length_a 4.216
_cell_length_b 4.216
_cell_length_c 14.715
_cell_angle_alpha 90.00
_cell_angle_beta 90.00
_cell_angle_gamma 90.00
loop_
_atom_site_label
_atom_site_type_symbol
_atom_site_fract_x
_atom_site_fract_y
_atom_site_fract_z
K1 K 0.000 0.000 0.000
Tc1 Tc 0.000 0.500 0.250
Te1 Te 0.000 0.000 0.358

=====

# PBE K2TcTe, optimized geometry
# ΔE_f (raw)	0.239	eV per atom
# calculated total energy	-29.49	eV for the cell shown
data_K2TcTe
_chemical_formula_sum 'K4 Tc2 Te2'
_space_group_name_H-M_alt 'C 1 m 1'
_space_group_IT_number 8
_cell_length_a 7.794
_cell_length_b 4.503
_cell_length_c 9.704
_cell_angle_alpha 90.00
_cell_angle_beta 104.83
_cell_angle_gamma 90.00
loop_
_space_group_symop_operation_xyz
'x,y,z'
'x,-y,z'
'x+1/2,y+1/2,z'
'x+1/2,-y+1/2,z'
loop_
_atom_site_label
_atom_site_type_symbol
_atom_site_fract_x
_atom_site_fract_y
_atom_site_fract_z
K1 K 0.000 0.000 0.000
K2 K 0.170 0.000 0.536
Tc1 Tc 0.252 0.500 0.268
Te1 Te 0.418 0.000 0.267

=====

# PBE KTcTe2, optimized geometry
# excess energy over the best structure of this formula in the dataset	0.000	eV/atom
# ΔE_f (raw)	-0.267	eV per atom
# calculated total energy	-56.45	eV for the cell shown
data_KTcTe2
_chemical_formula_sum 'K3 Tc3 Te6'
_space_group_name_H-M_alt 'R -3 m'
_space_group_IT_number 166
_space_group_name_Hall '-R 3 2"'
_cell_length_a 4.1000
_cell_length_b 4.1000
_cell_length_c 24.1062
_cell_angle_alpha 90.00
_cell_angle_beta 90.00
_cell_angle_gamma 120.00
loop_
_atom_site_label
_atom_site_type_symbol
_atom_site_fract_x
_atom_site_fract_y
_atom_site_fract_z
K1 K 0.0000 0.0000 0.0000
Tc1 Tc 0.0000 0.0000 0.5000
Te1 Te 0.0000 0.0000 0.2270

=====

# PBE KTc3Te, optimized geometry
# excess energy over the best structure of this formula in the dataset	0.000	eV/atom
# ΔE_f (raw)	1.669	eV per atom
# calculated total energy	-26.99	eV for the cell shown
data_KTc3Te
_chemical_formula_sum 'K1 Tc3 Te1'
_space_group_name_H-M_alt 'P m -3 m'
_space_group_IT_number 221
_space_group_name_Hall '-P 4 2 3'
_cell_length_a 5.002
_cell_length_b 5.002
_cell_length_c 5.002
_cell_angle_alpha 90.00
_cell_angle_beta 90.00
_cell_angle_gamma 90.00
loop_
_atom_site_label
_atom_site_type_symbol
_atom_site_fract_x
_atom_site_fract_y
_atom_site_fract_z
K1 K 0.000 0.000 0.000
Tc1 Tc 0.000 0.500 0.500
Te1 Te 0.500 0.500 0.500